Density functional theory data (meta-GGA SCAN) for a PBEsol-optimized structure of LiNi5.

abc: 3.4680 10.3940 3.4423
angles: 90.00 90.00 90.00
With the nearest neighbours (Å) after each atom.
Space group Cmmm (No. 65)
Inequivalent atoms, fractional coordinates:
1 Li 0.0000 0.0000 0.0000 (multiplicity 2)  12 Ni 2.44-2.46
2 Ni 0.0000 0.1677 0.5000 (multiplicity 4)  10 Ni 2.42-2.46, 2 Li 2.45
3 Ni 0.0000 0.3317 0.0000 (multiplicity 4)  10 Ni 2.42-2.45, 2 Li 2.46
4 Ni 0.0000 0.5000 0.5000 (multiplicity 2)  4 Li 2.44, 8 Ni 2.45-2.46

Output
**ΔE_f**: 24 kJ/mol of formula units
**Magnetization**: 6.3 μB per cell